Here is VH2Au after structural relaxation from Alexandria via LeMat-Bulk. Energies are from PBE-GGA.

It has space group R-3m (No. 166, hexagonal axes), with a = 2.9307 Å, b = 2.9307 Å, c = 15.2514 Å, α = 90.00°, β = 90.00° and γ = 120.00°. The asymmetric unit holds V at (0.0000, 0.0000, 0.0000), H at (0.0000, 0.0000, 0.3725) and Au at (0.0000, 0.0000, 0.5000).

The crystal system is trigonal.

***

Here is VH3Au after structural relaxation from Alexandria via LeMat-Bulk. Energies are from PBE-GGA.

It has space group Pm-3m (No. 221), with a = 3.493 Å, b = 3.493 Å, c = 3.493 Å, α = 90.00°, β = 90.00° and γ = 90.00°. The asymmetric unit holds V at (0.000, 0.000, 0.000), H at (0.000, 0.000, 0.500) and Au at (0.500, 0.500, 0.500).

The crystal system is cubic.

***

Here is VH3Au after structural relaxation from Alexandria via LeMat-Bulk. Energies are from PBE-GGA.

It has space group Pm-3m (No. 221), with a = 3.650 Å, b = 3.650 Å, c = 3.650 Å, α = 90.00°, β = 90.00° and γ = 90.00°. The asymmetric unit holds V at (0.000, 0.000, 0.000), H at (0.000, 0.500, 0.500) and Au at (0.500, 0.500, 0.500).

The crystal system is cubic.

***

Here is VHAu after structural relaxation from Alexandria via LeMat-Bulk. Energies are from PBE-GGA.

It has space group P3m1 (No. 156), with a = 2.9661 Å, b = 2.9661 Å, c = 4.5288 Å, α = 90.00°, β = 90.00° and γ = 120.00°. The asymmetric unit holds V at (0.0000, 0.0000, 0.0000), H at (0.6667, 0.3333, 0.0625) and Au at (0.3333, 0.6667, 0.5120).

The crystal system is trigonal.

***

The records above yield Fermi-level density of states values of 0.4601, 0.7384, 0.5148, 0.7402 states/eV/atom, respectively.
The records above yield distance to the lowest polymorph of the same formula values of 0.000, 0.000, 1.081, 0.353 eV per formula unit, respectively.